The following is a PBE with a Hubbard U calculation of crystalline Rb2TcWO at its relaxed geometry, from Alexandria via LeMat-Bulk.

a = 6.948 Å, b = 6.948 Å, c = 3.758 Å
α = 90.00°, β = 90.00°, γ = 90.00°
Space group P4/mmm (No. 123)
Inequivalent atoms, fractional coordinates:
1 Rb 0.000 0.500 0.000 [2 per cell]
2 Tc 0.000 0.000 0.000 [1 per cell]
3 W 0.500 0.500 0.500 [1 per cell]
4 O 0.000 0.000 0.500 [1 per cell]

Output
total magnetic moment: 1.329 μB per atom
calculated total energy: -20.563 eV for the cell shown